(1)
VASP calculation (PBE-GGA) on a geometry-optimized MnFe2Pb structure.

Summary:
The value obtained for the uncorrected energy is -7.0241 eV per atom. The calculation puts the magnetization at 7.00 μB per formula unit.

Lattice parameters (Å, degrees): 3.2363 3.2315 6.6665 61.02 90.00 90.00
Closest atoms and distances in Å follow each position.
Positions (direct):
Fe1 0.0000 0.5542 0.4459  1 Fe 2.28, 4 Mn 2.56
Fe2 0.0000 0.9458 0.0541  1 Fe 2.28, 4 Mn 2.56
Pb1 0.5000 0.7500 0.7500  8 Fe 2.89, 2 Mn 2.92, 4 Pb 3.23-3.24
Mn1 0.5000 0.2500 0.2500  8 Fe 2.56


(2)
VASP calculation (PBE-GGA) on a geometry-optimized AgI2Br structure.

Summary:
The value obtained for the uncorrected energy is -1.5273 eV per atom. For the formation energy (no corrections), the calculation gives 36.54 kJ per mole of atoms. The calculation puts the magnetization at 0.00 μB per formula unit.

Lattice parameters (Å, degrees): 5.4917 5.4917 5.4917 60.00 60.00 60.00
Closest atoms and distances in Å follow each position.
Positions (direct):
I1 0.2500 0.2500 0.2500  4 Br 3.36, 4 Ag 3.36
I2 0.7500 0.7500 0.7500  4 Br 3.36, 4 Ag 3.36
Ag1 0.5000 0.5000 0.5000  8 I 3.36
Br1 0.0000 0.0000 0.0000  8 I 3.36


(3)
VASP calculation (PBE-GGA) on a geometry-optimized Pm8HoEr2 structure.

Summary:
The value obtained for the uncorrected energy is -4.5293 eV per atom. The calculation puts the magnetization at 0.00 μB per formula unit.

Lattice parameters (Å, degrees): 6.6912 10.3208 10.3208 38.25 59.70 59.70
Closest atoms and distances in Å follow each position.
Positions (direct):
Pm1 0.2746 0.4064 0.4064  8 Pm 3.35-3.75, 1 Er 3.67
Pm2 0.7699 0.6510 0.1745  5 Pm 3.22-3.54, 1 Ho 3.35, 1 Er 3.46
Pm3 0.8300 0.2445 0.2445  5 Pm 3.31-3.48, 4 Er 3.38-3.66
Pm4 0.1700 0.7555 0.7555  5 Pm 3.31-3.48, 4 Er 3.38-3.66
Pm5 0.7699 0.1745 0.6510  5 Pm 3.22-3.54, 1 Ho 3.35, 1 Er 3.46
Pm6 0.2301 0.3490 0.8255  5 Pm 3.22-3.54, 1 Ho 3.35, 1 Er 3.46
Pm7 0.2301 0.8255 0.3490  5 Pm 3.22-3.54, 1 Ho 3.35, 1 Er 3.46
Pm8 0.7254 0.5936 0.5936  8 Pm 3.35-3.75, 1 Er 3.67
Er1 0.4111 0.1975 0.1975  7 Pm 3.38-3.67, 1 Ho 3.76
Er2 0.5889 0.8025 0.8025  7 Pm 3.38-3.67, 1 Ho 3.76
Ho1 0.0000 0.0000 0.0000  4 Pm 3.35


Question: uncorrected energy of number 3 (Pm8HoEr2)?
Answer: -4.5293 eV per atom